# ErCd2Cu9 | the Alexandria database | GGA-PBE | optimized geometry
# final energy = -133.74 eV/cell
data_ErCd2Cu9
_chemical_formula_sum 'Er3 Cd6 Cu27'
_symmetry_space_group_name_H-M 'R -3 m'
_symmetry_Int_Tables_number 166
_symmetry_space_group_name_Hall '-R 3 2"'
_cell_length_a 5.0535
_cell_length_b 5.0535
_cell_length_c 24.0944
_cell_angle_alpha 90.00
_cell_angle_beta 90.00
_cell_angle_gamma 120.00
loop_
_atom_site_label
_atom_site_type_symbol
_atom_site_fract_x
_atom_site_fract_y
_atom_site_fract_z
Er1 Er 0.0000 0.0000 0.0000
Cd1 Cd 0.0000 0.0000 0.1432
Cu1 Cu 0.0000 0.0000 0.3334
Cu2 Cu 0.0000 0.0000 0.5000
Cu3 Cu 0.0022 0.5011 0.9164

***

# ErCdCu | the Alexandria database | GGA-PBE | optimized geometry
# final energy = -10.19 eV/cell
data_ErCdCu
_chemical_formula_sum 'Er1 Cd1 Cu1'
_symmetry_space_group_name_H-M 'P 3 m 1'
_symmetry_Int_Tables_number 156
_symmetry_space_group_name_Hall 'P 3 -2"'
_cell_length_a 4.6499
_cell_length_b 4.6499
_cell_length_c 3.3500
_cell_angle_alpha 90.00
_cell_angle_beta 90.00
_cell_angle_gamma 120.00
loop_
_atom_site_label
_atom_site_type_symbol
_atom_site_fract_x
_atom_site_fract_y
_atom_site_fract_z
Er1 Er 0.0000 0.0000 0.0000
Cd1 Cd 0.3333 0.6667 0.5002
Cu1 Cu 0.6667 0.3333 0.4984

***

# Er6Cd5Cu | the Alexandria database | GGA-PBE | optimized geometry
# final energy = -79.03 eV/cell
data_Er6Cd5Cu
_chemical_formula_sum 'Er12 Cd10 Cu2'
_symmetry_space_group_name_H-M 'C m m m'
_symmetry_Int_Tables_number 65
_symmetry_space_group_name_Hall '-C 2 2'
_cell_length_a 5.1774
_cell_length_b 15.5679
_cell_length_c 7.3830
_cell_angle_alpha 90.00
_cell_angle_beta 90.00
_cell_angle_gamma 90.00
loop_
_atom_site_label
_atom_site_type_symbol
_atom_site_fract_x
_atom_site_fract_y
_atom_site_fract_z
Er1 Er 0.0000 0.0000 0.2362
Er2 Er 0.0000 0.3401 0.2436
Cd1 Cd 0.0000 0.1697 0.5000
Cd2 Cd 0.0000 0.1720 0.0000
Cd3 Cd 0.0000 0.5000 0.5000
Cu1 Cu 0.0000 0.5000 0.0000

***

# Er4CdCu | the Alexandria database | GGA-PBE | optimized geometry
# polymorph energy (0 for the lowest one) = 0 meV per atom
# final energy = -24.23 eV/cell
data_Er4CdCu
_chemical_formula_sum 'Er4 Cd1 Cu1'
_symmetry_space_group_name_H-M 'P 4/m m m'
_symmetry_Int_Tables_number 123
_symmetry_space_group_name_Hall '-P 4 2'
_cell_length_a 3.4852
_cell_length_b 3.4852
_cell_length_c 12.7133
_cell_angle_alpha 90.00
_cell_angle_beta 90.00
_cell_angle_gamma 90.00
loop_
_atom_site_label
_atom_site_type_symbol
_atom_site_fract_x
_atom_site_fract_y
_atom_site_fract_z
Er1 Er 0.0000 0.0000 0.1335
Er2 Er 0.5000 0.5000 0.3335
Cd1 Cd 0.0000 0.0000 0.5000
Cu1 Cu 0.5000 0.5000 0.0000

***

# Er4CdCu | the Alexandria database | GGA-PBE | optimized geometry
# polymorph energy (0 for the lowest one) = 160 meV per atom
# final energy = -46.53 eV/cell
data_Er4CdCu
_chemical_formula_sum 'Er8 Cd2 Cu2'
_symmetry_space_group_name_H-M 'P 1 21/c 1'
_symmetry_Int_Tables_number 14
_symmetry_space_group_name_Hall '-P 2ybc'
_cell_length_a 6.2981
_cell_length_b 8.7987
_cell_length_c 5.9497
_cell_angle_alpha 90.00
_cell_angle_beta 107.09
_cell_angle_gamma 90.00
loop_
_atom_site_label
_atom_site_type_symbol
_atom_site_fract_x
_atom_site_fract_y
_atom_site_fract_z
Er1 Er 0.1121 0.1679 0.1212
Er2 Er 0.3659 0.6562 0.9212
Cd1 Cd 0.5000 0.0000 0.0000
Cu1 Cu 0.0000 0.0000 0.5000

***

# Er4Cd3Cu | the Alexandria database | GGA-PBE | optimized geometry
# final energy = -27.44 eV/cell
data_Er4Cd3Cu
_chemical_formula_sum 'Er4 Cd3 Cu1'
_symmetry_space_group_name_H-M 'P 4/m m m'
_symmetry_Int_Tables_number 123
_symmetry_space_group_name_Hall '-P 4 2'
_cell_length_a 3.5945
_cell_length_b 3.5945
_cell_length_c 15.0238
_cell_angle_alpha 90.00
_cell_angle_beta 90.00
_cell_angle_gamma 90.00
loop_
_atom_site_label
_atom_site_type_symbol
_atom_site_fract_x
_atom_site_fract_y
_atom_site_fract_z
Er1 Er 0.0000 0.0000 0.1093
Er2 Er 0.0000 0.0000 0.3703
Cd1 Cd 0.5000 0.5000 0.2418
Cd2 Cd 0.5000 0.5000 0.5000
Cu1 Cu 0.5000 0.5000 0.0000

***

# Er2CdCu2 | the Alexandria database | GGA-PBE | optimized geometry
# final energy = -39.69 eV/cell
data_Er2CdCu2
_chemical_formula_sum 'Er4 Cd2 Cu4'
_symmetry_space_group_name_H-M 'P 4/m b m'
_symmetry_Int_Tables_number 127
_symmetry_space_group_name_Hall '-P 4 2ab'
_cell_length_a 7.4426
_cell_length_b 7.4426
_cell_length_c 3.7412
_cell_angle_alpha 90.00
_cell_angle_beta 90.00
_cell_angle_gamma 90.00
loop_
_atom_site_label
_atom_site_type_symbol
_atom_site_fract_x
_atom_site_fract_y
_atom_site_fract_z
Er1 Er 0.1738 0.3262 0.0000
Cd1 Cd 0.0000 0.0000 0.5000
Cu1 Cu 0.1205 0.6205 0.5000

***

# ErCdCu | the Alexandria database | GGA-PBE | optimized geometry
# final energy = -41.37 eV/cell
data_ErCdCu
_chemical_formula_sum 'Er4 Cd4 Cu4'
_symmetry_space_group_name_H-M 'C 1 2/m 1'
_symmetry_Int_Tables_number 12
_symmetry_space_group_name_Hall '-C 2y'
_cell_length_a 12.8537
_cell_length_b 3.8814
_cell_length_c 5.2141
_cell_angle_alpha 90.00
_cell_angle_beta 102.08
_cell_angle_gamma 90.00
loop_
_atom_site_label
_atom_site_type_symbol
_atom_site_fract_x
_atom_site_fract_y
_atom_site_fract_z
Er1 Er 0.1310 0.0000 0.3116
Cd1 Cd 0.0717 0.5000 0.7824
Cu1 Cu 0.2291 0.0000 0.8492

***

# ErCdCu | the Alexandria database | GGA-PBE | optimized geometry
# final energy = -20.16 eV/cell
data_ErCdCu
_chemical_formula_sum 'Er2 Cd2 Cu2'
_symmetry_space_group_name_H-M 'I 4 m m'
_symmetry_Int_Tables_number 107
_symmetry_space_group_name_Hall 'I 4 -2'
_cell_length_a 3.3753
_cell_length_b 3.3753
_cell_length_c 10.9290
_cell_angle_alpha 90.00
_cell_angle_beta 90.00
_cell_angle_gamma 90.00
loop_
_atom_site_label
_atom_site_type_symbol
_atom_site_fract_x
_atom_site_fract_y
_atom_site_fract_z
Er1 Er 0.0000 0.0000 0.0000
Cd1 Cd 0.0000 0.0000 0.7037
Cu1 Cu 0.0000 0.0000 0.3425

***

# ErCd2Cu | the Alexandria database | GGA-PBE | optimized geometry
# final energy = -28.19 eV/cell
data_ErCd2Cu
_chemical_formula_sum 'Er3 Cd6 Cu3'
_symmetry_space_group_name_H-M 'R -3 m'
_symmetry_Int_Tables_number 166
_symmetry_space_group_name_Hall '-R 3 2"'
_cell_length_a 3.1667
_cell_length_b 3.1667
_cell_length_c 31.4423
_cell_angle_alpha 90.00
_cell_angle_beta 90.00
_cell_angle_gamma 120.00
loop_
_atom_site_label
_atom_site_type_symbol
_atom_site_fract_x
_atom_site_fract_y
_atom_site_fract_z
Er1 Er 0.0000 0.0000 0.0000
Cd1 Cd 0.0000 0.0000 0.0999
Cu1 Cu 0.0000 0.0000 0.5000

***

# ErCd2Cu | the Alexandria database | GGA-PBE | optimized geometry
# final energy = -10.89 eV/cell
data_ErCd2Cu
_chemical_formula_sum 'Er1 Cd2 Cu1'
_symmetry_space_group_name_H-M 'P 4/m m m'
_symmetry_Int_Tables_number 123
_symmetry_space_group_name_Hall '-P 4 2'
_cell_length_a 4.2352
_cell_length_b 4.2352
_cell_length_c 4.8046
_cell_angle_alpha 90.00
_cell_angle_beta 90.00
_cell_angle_gamma 90.00
loop_
_atom_site_label
_atom_site_type_symbol
_atom_site_fract_x
_atom_site_fract_y
_atom_site_fract_z
Er1 Er 0.0000 0.0000 0.0000
Cd1 Cd 0.0000 0.5000 0.5000
Cu1 Cu 0.5000 0.5000 0.0000

***

# ErCdCu10 | the Alexandria database | GGA-PBE | optimized geometry
# final energy = -47.23 eV/cell
data_ErCdCu10
_chemical_formula_sum 'Er1 Cd1 Cu10'
_symmetry_space_group_name_H-M 'P m m m'
_symmetry_Int_Tables_number 47
_symmetry_space_group_name_Hall '-P 2 2'
_cell_length_a 4.0828
_cell_length_b 4.9716
_cell_length_c 8.6020
_cell_angle_alpha 90.00
_cell_angle_beta 90.00
_cell_angle_gamma 90.00
loop_
_atom_site_label
_atom_site_type_symbol
_atom_site_fract_x
_atom_site_fract_y
_atom_site_fract_z
Er1 Er 0.0000 0.0000 0.0000
Cd1 Cd 0.0000 0.5000 0.5000
Cu1 Cu 0.0000 0.0000 0.3412
Cu2 Cu 0.0000 0.5000 0.1763
Cu3 Cu 0.5000 0.0000 0.5000
Cu4 Cu 0.5000 0.2464 0.2478
Cu5 Cu 0.5000 0.5000 0.0000